No. 1
## LaCePb (GGA-PBE)

Data for a relaxed structure of LaCePb.

The calculated total energy comes out at -5.28 eV per atom. The polymorph energy (0 for the lowest one) comes out at 0.016 eV per atom. Its crystal system is tetragonal.

Cell lengths 4.618, 4.618, 9.163 Å; angles 90.00, 90.00, 90.00 degrees
Last column: magnetic moment on the atom in μB.
Positions (direct):
Pb1 0.500 0.000 0.768  -0.02
La1 0.000 0.500 0.857  0.15
Pb2 0.000 0.500 0.232  -0.02
La2 0.500 0.000 0.143  0.15
Ce1 0.500 0.500 0.500  0.44
Ce2 0.000 0.000 0.500  0.44

=====

No. 2
## LaCe5Pb5 (GGA-PBE)

Data for a relaxed structure of LaCe5Pb5.

The calculated total energy comes out at -5.02 eV per atom. Its crystal system is monoclinic.

Cell lengths 6.464, 7.853, 9.126 Å; angles 106.53, 90.00, 114.30 degrees
Last column: magnetic moment on the atom in μB.
Positions (direct):
Ce1 0.660 0.321 0.335  0.64
La1 0.000 0.000 0.000  -0.04
Ce2 0.668 0.336 0.835  0.67
Ce3 0.000 0.000 0.500  0.78
Pb1 0.829 0.658 0.175  -0.02
Ce4 0.340 0.679 0.665  0.64
Pb2 0.500 0.000 0.000  -0.02
Pb3 0.169 0.338 0.342  -0.02
Pb4 0.831 0.662 0.658  -0.02
Pb5 0.171 0.342 0.825  -0.02
Ce5 0.332 0.664 0.165  0.67

=====

No. 3
## La5CePb5 (GGA-PBE)

Data for a relaxed structure of La5CePb5.

The calculated total energy comes out at -4.83 eV per atom. Its crystal system is monoclinic.

Cell lengths 6.563, 8.138, 9.127 Å; angles 106.44, 90.00, 113.78 degrees
Last column: magnetic moment on the atom in μB.
Positions (direct):
Pb1 0.162 0.323 0.329  0.01
La1 0.331 0.662 0.164  0.01
La2 0.669 0.338 0.836  0.01
Pb2 0.160 0.320 0.833  0.00
Ce1 0.000 0.000 0.000  0.56
Pb3 0.840 0.680 0.167  0.00
Pb4 0.500 0.000 0.000  0.00
La3 0.000 0.000 0.500  0.06
Pb5 0.838 0.677 0.671  0.01
La4 0.328 0.656 0.668  0.01
La5 0.672 0.344 0.332  0.01

=====

No. 4
## La3Ce4Pb4 (GGA-PBE)

Data for a relaxed structure of La3Ce4Pb4.

The calculated total energy comes out at -4.83 eV per atom. Its crystal system is cubic.

Cell lengths 8.078, 8.078, 8.078 Å; angles 109.47, 109.47, 109.47 degrees
Last column: magnetic moment on the atom in μB.
Positions (direct):
La1 0.500 0.500 0.000  0.11
Ce1 0.223 0.000 0.000  0.74
Pb1 0.000 0.589 0.000  0.00
Ce2 0.000 0.000 0.223  0.74
Pb2 0.000 0.000 0.589  0.00
Pb3 0.589 0.000 0.000  0.00
Ce3 0.777 0.777 0.777  0.74
La2 0.000 0.500 0.500  0.11
La3 0.500 0.000 0.500  0.11
Pb4 0.411 0.411 0.411  0.00
Ce4 0.000 0.223 0.000  0.74

=====

No. 5
## La3Ce2Pb3 (GGA-PBE)

Data for a relaxed structure of La3Ce2Pb3.

The calculated total energy comes out at -5.21 eV per atom. Its crystal system is hexagonal.

Cell lengths 6.661, 9.675, 9.675 Å; angles 120.00, 90.00, 90.00 degrees
Last column: magnetic moment on the atom in μB.
Positions (direct):
Pb1 0.250 0.387 0.387  -0.04
Pb2 0.250 0.000 0.613  -0.04
Ce1 0.000 0.667 0.333  1.09
Pb3 0.750 0.000 0.387  -0.04
Pb4 0.750 0.387 0.000  -0.04
Pb5 0.750 0.613 0.613  -0.04
La1 0.750 0.000 0.742  0.15
Pb6 0.250 0.613 0.000  -0.04
La2 0.750 0.742 0.000  0.15
La3 0.250 0.742 0.742  0.15
Ce2 0.500 0.333 0.667  1.09
Ce3 0.000 0.333 0.667  1.09
La4 0.250 0.000 0.258  0.15
La5 0.750 0.258 0.258  0.15
La6 0.250 0.258 0.000  0.15
Ce4 0.500 0.667 0.333  1.09

=====

No. 6
## La3CePb2 (GGA-PBE)

Data for a relaxed structure of La3CePb2.

The calculated total energy comes out at -4.89 eV per atom. The polymorph energy (0 for the lowest one) comes out at 0.249 eV per atom. Its crystal system is orthorhombic.

Cell lengths 5.510, 3.414, 9.557 Å; angles 90.00, 90.00, 90.00 degrees
Last column: magnetic moment on the atom in μB.
Positions (direct):
La1 0.000 0.500 0.161  0.00
La2 0.000 0.500 0.827  0.02
Pb1 0.000 0.000 0.502  -0.01
Pb2 0.500 0.000 0.997  -0.01
Ce1 0.500 0.500 0.660  0.53
La3 0.500 0.500 0.353  0.02